1.
# Pm2Sb4Ir3Rh | Alexandria via LeMat-Bulk | PBE | optimized geometry
data_Pm2Sb4Ir3Rh
_space_group_name_H-M_alt 'P -4 m 2'
_space_group_IT_number 115
_space_group_name_Hall 'P -4 -2'
_cell_length_a 4.5346
_cell_length_b 4.5346
_cell_length_c 10.5897
_cell_angle_alpha 90.00
_cell_angle_beta 90.00
_cell_angle_gamma 90.00
loop_
_atom_site_label
_atom_site_fract_x
_atom_site_fract_y
_atom_site_fract_z
_atom_site_occupancy
Pm1 0.0000 0.5000 0.2427 1
Sb1 0.0000 0.0000 0.5000 1
Sb2 0.0000 0.5000 0.8680 1
Sb3 0.5000 0.5000 0.5000 1
Ir1 0.0000 0.0000 0.0000 1
Ir2 0.0000 0.5000 0.6251 1
Rh1 0.5000 0.5000 0.0000 1
# Formation energy (no corrections) (eV/atom): -0.642


2.
# BaHg2PdF8 | Alexandria via LeMat-Bulk | PBE | optimized geometry
data_BaHg2PdF8
_space_group_name_H-M_alt 'P -1'
_space_group_IT_number 2
_space_group_name_Hall '-P 1'
_cell_length_a 4.8546
_cell_length_b 5.9282
_cell_length_c 7.4962
_cell_angle_alpha 92.54
_cell_angle_beta 94.29
_cell_angle_gamma 93.25
loop_
_atom_site_label
_atom_site_fract_x
_atom_site_fract_y
_atom_site_fract_z
_atom_site_occupancy
Ba1 0.0000 0.0000 0.0000 1
Hg1 0.4356 0.5308 0.7234 1
Pd1 0.0000 0.0000 0.5000 1
F1 0.0163 0.2391 0.3124 1
F2 0.0580 0.2280 0.7137 1
F3 0.4556 0.7296 0.4580 1
F4 0.4720 0.7514 0.9622 1
# Formation energy (no corrections) (eV/atom): -1.912


3.
# La2Ga4CuRh3 | Alexandria via LeMat-Bulk | PBE | optimized geometry
data_La2Ga4CuRh3
_space_group_name_H-M_alt 'P -4 m 2'
_space_group_IT_number 115
_space_group_name_Hall 'P -4 -2'
_cell_length_a 4.3276
_cell_length_b 4.3276
_cell_length_c 10.2598
_cell_angle_alpha 90.00
_cell_angle_beta 90.00
_cell_angle_gamma 90.00
loop_
_atom_site_label
_atom_site_fract_x
_atom_site_fract_y
_atom_site_fract_z
_atom_site_occupancy
La1 0.0000 0.5000 0.2459 1
Ga1 0.0000 0.0000 0.5000 1
Ga2 0.0000 0.5000 0.8754 1
Ga3 0.5000 0.5000 0.5000 1
Cu1 0.5000 0.5000 0.0000 1
Rh1 0.0000 0.0000 0.0000 1
Rh2 0.0000 0.5000 0.6299 1
# Formation enthalpy at 0 K (eV/atom): -0.70


What did the third record say?
# La2Ga4CuRh3 | Alexandria via LeMat-Bulk | PBE | optimized geometry
data_La2Ga4CuRh3
_space_group_name_H-M_alt 'P -4 m 2'
_space_group_IT_number 115
_space_group_name_Hall 'P -4 -2'
_cell_length_a 4.3276
_cell_length_b 4.3276
_cell_length_c 10.2598
_cell_angle_alpha 90.00
_cell_angle_beta 90.00
_cell_angle_gamma 90.00
loop_
_atom_site_label
_atom_site_fract_x
_atom_site_fract_y
_atom_site_fract_z
_atom_site_occupancy
La1 0.0000 0.5000 0.2459 1
Ga1 0.0000 0.0000 0.5000 1
Ga2 0.0000 0.5000 0.8754 1
Ga3 0.5000 0.5000 0.5000 1
Cu1 0.5000 0.5000 0.0000 1
Rh1 0.0000 0.0000 0.0000 1
Rh2 0.0000 0.5000 0.6299 1
# Formation enthalpy at 0 K (eV/atom): -0.70